This record from the Alexandria database describes a relaxed ThAsPd crystal. The functional is PBE.

Calculated values
ΔH_f (0 K): -0.76 eV/atom

Lattice parameters (Å, degrees): 5.1867 5.1867 5.1867 134.92 134.92 65.65
Sites, in units of the cell vectors:
Th 0.0000 0.0000 0.0000
As 0.6458 0.6458 0.0000
Pd 0.3407 0.3407 0.0000

This record from the Alexandria database describes a relaxed Li2MnGaS4 crystal. The functional is PBE.

Lattice parameters (Å, degrees): 6.9043 6.9043 6.9043 134.93 134.93 65.64
Sites, in units of the cell vectors:
Li 0.2500 0.7500 0.5000
Li 0.7500 0.2500 0.5000
Mn 0.0000 0.0000 0.0000
Ga 0.5000 0.5000 0.0000
S 0.1326 0.1326 0.4985
S 0.3660 0.8674 0.0000
S 0.6340 0.6340 0.5015
S 0.8674 0.3660 0.0000

This record from the Alexandria database describes a relaxed KAgSe crystal. The functional is PBE.

Lattice parameters (Å, degrees): 6.7523 6.7523 8.8355 130.81 130.81 40.23
Sites, in units of the cell vectors:
K 0.2226 0.2226 0.2216
K 0.7774 0.7774 0.7784
Ag 0.0014 0.0014 0.3366
Ag 0.9986 0.9986 0.6634
Se 0.4993 0.4993 0.7687
Se 0.5007 0.5007 0.2313

This record from the Alexandria database describes a relaxed Sm4Mg3In crystal. The functional is PBE.

Calculated values
ΔH_f (0 K): -0.21 eV/atom

Lattice parameters (Å, degrees): 9.4219 9.4219 9.4219 33.48 33.48 33.48
Sites, in units of the cell vectors:
Sm 0.1251 0.1251 0.1251
Sm 0.3751 0.3751 0.3751
Sm 0.6249 0.6249 0.6249
Sm 0.8749 0.8749 0.8749
Mg 0.0000 0.0000 0.0000
Mg 0.2519 0.2519 0.2519
Mg 0.7481 0.7481 0.7481
In 0.5000 0.5000 0.5000

This record from the Alexandria database describes a relaxed SnPb2Au crystal. The functional is PBE.

Calculated values
ΔH_f (0 K): 0.11 eV/atom

Lattice parameters (Å, degrees): 11.6336 11.6336 11.6336 157.80 157.80 31.59
Sites, in units of the cell vectors:
Sn 0.0000 0.0000 0.0000
Sn 0.7500 0.2500 0.5000
Pb 0.1332 0.6250 0.0082
Pb 0.3750 0.3832 0.5082
Pb 0.6168 0.1250 0.9918
Pb 0.8750 0.8668 0.4918
Au 0.2500 0.7500 0.5000
Au 0.5000 0.5000 0.0000

This record from the Alexandria database describes a relaxed Pm2TcIr crystal. The functional is PBE.

Calculated values
ΔH_f (0 K): -0.11 eV/atom

Lattice parameters (Å, degrees): 4.9219 4.9219 3.5642 90.00 90.00 90.00
Sites, in units of the cell vectors:
Pm 0.0000 0.5000 0.0000
Pm 0.5000 0.0000 0.0000
Tc 0.0000 0.0000 0.5000
Ir 0.5000 0.5000 0.5000

This record from the Alexandria database describes a relaxed Hf3Zr4TaN8 crystal. The functional is PBE.

Lattice parameters (Å, degrees): 6.4722 6.4722 6.4722 59.61 59.61 59.61
Sites, in units of the cell vectors:
Hf 0.0000 0.5000 0.5000
Hf 0.5000 0.0000 0.5000
Hf 0.5000 0.5000 0.0000
Zr 0.0000 0.0000 0.5000
Zr 0.0000 0.5000 0.0000
Zr 0.5000 0.0000 0.0000
Zr 0.5000 0.5000 0.5000
Ta 0.0000 0.0000 0.0000
N 0.2439 0.2439 0.7463
N 0.2439 0.7463 0.2439
N 0.2537 0.7561 0.7561
N 0.2550 0.2550 0.2550
N 0.7450 0.7450 0.7450
N 0.7463 0.2439 0.2439
N 0.7561 0.2537 0.7561
N 0.7561 0.7561 0.2537

This record from the Alexandria database describes a relaxed CePm2Ti crystal. The functional is PBE.

Calculated values
ΔH_f (0 K): 0.46 eV/atom

Lattice parameters (Å, degrees): 11.9734 11.9734 11.9734 16.04 16.04 16.04
Sites, in units of the cell vectors:
Ce 0.0000 0.0000 0.0000
Pm 0.4162 0.4162 0.4162
Pm 0.5838 0.5838 0.5838
Ti 0.5000 0.5000 0.5000

This record from the Alexandria database describes a relaxed GaSe2BrN crystal. The functional is PBE.

Calculated values
E above lowest polymorph: 231 meV per atom

Lattice parameters (Å, degrees): 5.4050 5.4050 3.6059 90.00 90.00 90.00
Sites, in units of the cell vectors:
Ga 0.0000 0.0000 0.0000
Se 0.0000 0.5000 0.0000
Se 0.5000 0.0000 0.0000
Br 0.5000 0.5000 0.5000
N 0.0000 0.0000 0.5000

This record from the Alexandria database describes a relaxed ZrGa2Rh crystal. The functional is PBE.

Calculated values
ΔH_f (0 K): -0.60 eV/atom

Lattice parameters (Å, degrees): 3.0917 3.0917 6.8583 90.00 90.00 90.00
Sites, in units of the cell vectors:
Zr 0.0000 0.0000 0.0000
Ga 0.5000 0.5000 0.2859
Ga 0.5000 0.5000 0.7141
Rh 0.0000 0.0000 0.5000

This record from the Alexandria database describes a relaxed Pm4Pb2Cl crystal. The functional is PBE.

Lattice parameters (Å, degrees): 9.1124 9.1124 9.1124 146.98 146.98 47.40
Sites, in units of the cell vectors:
Pm 0.0000 0.5000 0.5000
Pm 0.1717 0.1717 0.0000
Pm 0.5000 0.0000 0.5000
Pm 0.8283 0.8283 0.0000
Pb 0.3633 0.3633 0.0000
Pb 0.6367 0.6367 0.0000
Cl 0.0000 0.0000 0.0000

This record from the Alexandria database describes a relaxed Cd2InPb crystal. The functional is PBE.

Calculated values
E above lowest polymorph: 17 meV per atom
ΔH_f (0 K): 0.04 eV/atom

Lattice parameters (Å, degrees): 3.3769 3.3769 9.2664 90.00 90.00 90.15
Sites, in units of the cell vectors:
Cd 0.0000 0.0000 0.2410
Cd 0.0000 0.0000 0.7590
In 0.5000 0.5000 0.0000
Pb 0.5000 0.5000 0.5000

This record from the Alexandria database describes a relaxed Ni2WS crystal. The functional is PBE.

Lattice parameters (Å, degrees): 4.4115 4.5904 5.3686 82.99 78.88 82.60
Sites, in units of the cell vectors:
Ni 0.0000 0.0000 0.0000
Ni 0.0797 0.0968 0.5096
Ni 0.4656 0.8311 0.2246
Ni 0.6008 0.3090 0.3301
W 0.1738 0.5340 0.7020
W 0.5533 0.9552 0.7282
S 0.6286 0.4263 0.9230
S 0.9027 0.6892 0.3589

This record from the Alexandria database describes a relaxed CaTaMo2 crystal. The functional is PBE.

Calculated values
E above lowest polymorph: 202 meV per atom
ΔH_f (0 K): 0.63 eV/atom

Lattice parameters (Å, degrees): 5.5782 5.5782 2.7531 99.07 99.07 115.74
Sites, in units of the cell vectors:
Ca 0.0000 0.0000 0.0000
Ta 0.5000 0.5000 0.0000
Mo 0.0000 0.5000 0.5000
Mo 0.5000 0.0000 0.5000

This record from the Alexandria database describes a relaxed Be5Ru crystal. The functional is PBE.

Calculated values
ΔH_f (0 K): -0.19 eV/atom

Lattice parameters (Å, degrees): 5.4503 5.4503 3.4012 90.00 90.00 147.41
Sites, in units of the cell vectors:
Be 0.0000 0.0000 0.0000
Be 0.1735 0.8265 0.5000
Be 0.3281 0.6719 0.0000
Be 0.6719 0.3281 0.0000
Be 0.8265 0.1735 0.5000
Ru 0.5000 0.5000 0.5000

This record from the Alexandria database describes a relaxed TaHg2Au crystal. The functional is PBE.

Calculated values
E above lowest polymorph: 224 meV per atom
ΔH_f (0 K): 0.40 eV/atom

Lattice parameters (Å, degrees): 2.9695 5.1881 5.2325 90.00 90.00 90.00
Sites, in units of the cell vectors:
Ta 0.0000 0.0000 0.0000
Hg 0.0000 0.5000 0.5000
Hg 0.5000 0.5000 0.0000
Au 0.5000 0.0000 0.5000

This record from the Alexandria database describes a relaxed CsBe2Au crystal. The functional is PBE.

Calculated values
ΔH_f (0 K): 1.21 eV/atom

Lattice parameters (Å, degrees): 5.0860 5.0860 5.0860 60.00 60.00 60.00
Sites, in units of the cell vectors:
Cs 0.0000 0.0000 0.0000
Be 0.2500 0.2500 0.2500
Be 0.7500 0.7500 0.7500
Au 0.5000 0.5000 0.5000

This record from the Alexandria database describes a relaxed Ni2OsAu crystal. The functional is PBE.

Calculated values
E above lowest polymorph: 167 meV per atom
ΔH_f (0 K): 0.30 eV/atom

Lattice parameters (Å, degrees): 2.6602 4.0838 5.1533 90.00 104.95 90.00
Sites, in units of the cell vectors:
Ni 0.0000 0.0000 0.0000
Ni 0.1363 0.5000 0.2672
Os 0.7256 0.0000 0.4475
Au 0.3902 0.5000 0.7787

This record from the Alexandria database describes a relaxed RbMgPH12O10 crystal. The functional is PBE.

Lattice parameters (Å, degrees): 6.9238 6.1633 11.3768 90.00 90.00 90.00
Sites, in units of the cell vectors:
Rb 0.0000 0.1362 0.0000
Rb 0.5000 0.8638 0.5000
Mg 0.0000 0.1259 0.6475
Mg 0.5000 0.8741 0.1475
P 0.0000 0.5045 0.2792
P 0.5000 0.4955 0.7792
H 0.0000 0.6756 0.6132
H 0.0000 0.7742 0.4818
H 0.1182 0.5074 0.7668
H 0.1766 0.8834 0.2919
H 0.1777 0.6696 0.0788
H 0.2027 0.2996 0.4579
H 0.2475 0.1308 0.2803
H 0.2525 0.8692 0.7803
H 0.2973 0.7004 0.9579
H 0.3223 0.3304 0.5788
H 0.3234 0.1166 0.7919
H 0.3818 0.4926 0.2668
H 0.5000 0.2258 0.9818
H 0.5000 0.3244 0.1132
H 0.6182 0.4926 0.2668
H 0.6766 0.1166 0.7919
H 0.6777 0.3304 0.5788
H 0.7027 0.7004 0.9579
H 0.7475 0.8692 0.7803
H 0.7525 0.1308 0.2803
H 0.7973 0.2996 0.4579
H 0.8223 0.6696 0.0788
H 0.8234 0.8834 0.2919
H 0.8818 0.5074 0.7668
O 0.0000 0.4466 0.7262
O 0.0000 0.5295 0.1436
O 0.0000 0.7343 0.3383
O 0.0000 0.8127 0.5680
O 0.1851 0.3813 0.3198
O 0.2112 0.0231 0.7665
O 0.2242 0.2356 0.5382
O 0.2758 0.7644 0.0382
O 0.2888 0.9769 0.2665
O 0.3149 0.6187 0.8198
O 0.5000 0.1873 0.0680
O 0.5000 0.2657 0.8383
O 0.5000 0.4705 0.6436
O 0.5000 0.5534 0.2262
O 0.6851 0.6187 0.8198
O 0.7112 0.9769 0.2665
O 0.7242 0.7644 0.0382
O 0.7758 0.2356 0.5382
O 0.7888 0.0231 0.7665
O 0.8149 0.3813 0.3198

This record from the Alexandria database describes a relaxed TaBPd2 crystal. The functional is PBE.

Calculated values
ΔH_f (0 K): 0.07 eV/atom

Lattice parameters (Å, degrees): 5.4733 5.4733 5.4733 101.11 101.11 127.93
Sites, in units of the cell vectors:
Ta 0.0000 0.0000 0.0000
Ta 0.7500 0.2500 0.5000
B 0.2500 0.7500 0.5000
B 0.5000 0.5000 0.0000
Pd 0.2207 0.6250 0.0957
Pd 0.3750 0.4707 0.5957
Pd 0.5293 0.1250 0.9043
Pd 0.8750 0.7793 0.4043

| no. | DFT total energy (eV per atom) |
| --- | --- |
| 1 | -6.5180 |
| 2 | -4.9209 |
| 3 | -3.0696 |
| 4 | -3.5133 |
| 5 | -3.5677 |
| 6 | -7.2953 |
| 7 | -10.5254 |
| 8 | -5.3756 |
| 9 | -3.1674 |
| 10 | -6.0921 |
| 11 | -4.6281 |
| 12 | -2.0275 |
| 13 | -7.1227 |
| 14 | -8.2498 |
| 15 | -4.8419 |
| 16 | -3.5286 |
| 17 | -1.6874 |
| 18 | -6.2168 |
| 19 | -5.3888 |
| 20 | -7.1575 |